Record 1
Material: BeFeCoBi2
Method: DFT, SCAN
State: single point on PBEsol structure

Lattice parameters (Å, degrees): 4.019 4.886 4.886 90.00 90.00 90.00
Last column: magnetic moment on the atom in μB.
Fractional coordinates of all 5 atoms:
Be 0.500 0.000 0.000  0.06
Bi 0.000 0.000 0.500  -0.01
Bi 0.000 0.500 0.000  -0.01
Fe 0.000 0.000 0.000  -0.86
Co 0.500 0.500 0.500  2.03

## Properties
E_tot: -38.46 eV/atom
Fermi-level density of states: 2.2 states/eV/cell
energy of formation: 925.2 meV/atom

Record 2
Material: TaBeCo2Bi
Method: DFT, SCAN
State: single point on PBEsol structure

Lattice parameters (Å, degrees): 3.980 3.980 4.618 90.00 90.00 90.00
Fractional coordinates of all 5 atoms:
Co 0.500 0.000 0.000
Ta 0.500 0.500 0.500
Be 0.000 0.000 0.000
Bi 0.000 0.000 0.500
Co 0.000 0.500 0.000

## Properties
E_tot: -35.79 eV/atom
Fermi-level density of states: 1.8 states/eV/cell
energy of formation: 1035.2 meV/atom

Record 3
Material: Cs2BeBi
Method: DFT, SCAN
State: single point on PBEsol structure

Lattice parameters (Å, degrees): 6.216 6.216 6.216 60.00 60.00 60.00
Last column: magnetic moment on the atom in μB.
Fractional coordinates of all 4 atoms:
Bi 0.500 0.500 0.500  0.51
Be 0.000 0.000 0.000  0.01
Cs 0.250 0.250 0.250  0.02
Cs 0.750 0.750 0.750  0.02

## Properties
E_tot: -39.11 eV/atom
Fermi-level density of states: 3.9 states/eV/cell
energy of formation: 527.5 meV/atom

Record 4
Material: Be2CuSnBi
Method: DFT, SCAN
State: single point on PBEsol structure

Lattice parameters (Å, degrees): 4.348 4.348 5.253 90.00 90.00 90.00
Fractional coordinates of all 5 atoms:
Be 0.000 0.500 0.000
Sn 0.500 0.500 0.500
Bi 0.000 0.000 0.500
Cu 0.000 0.000 0.000
Be 0.500 0.000 0.000

## Properties
E_tot: -26.96 eV/atom
Fermi-level density of states: 2.5 states/eV/cell
energy of formation: 720.0 meV/atom

Record 5
Material: BeBiNF2
Method: DFT, SCAN
State: single point on PBEsol structure

Lattice parameters (Å, degrees): 4.415 4.415 4.506 90.00 90.00 90.00
Fractional coordinates of all 5 atoms:
F 0.500 0.000 0.000
N 0.000 0.000 0.500
Bi 0.000 0.000 0.000
F 0.000 0.500 0.000
Be 0.500 0.500 0.500

## Properties
E_tot: -19.78 eV/atom
Fermi-level density of states: 1.8 states/eV/cell
energy relative to the elements, uncorrected: 82 meV per atom

Record 6
Material: BeFe3Bi
Method: DFT, SCAN
State: single point on PBEsol structure

Lattice parameters (Å, degrees): 4.069 4.069 4.069 90.00 90.00 90.00
Last column: magnetic moment on the atom in μB.
Fractional coordinates of all 5 atoms:
Bi 0.500 0.500 0.500  -0.04
Fe 0.500 0.000 0.000  2.60
Be 0.000 0.000 0.000  -0.19
Fe 0.000 0.000 0.500  2.60
Fe 0.000 0.500 0.000  2.60

## Properties
E_tot: -26.94 eV/atom
Fermi-level density of states: 4.6 states/eV/cell
energy of formation: 529.3 meV/atom

Record 7
Material: BeGaFeBi2
Method: DFT, SCAN
State: single point on PBEsol structure

Lattice parameters (Å, degrees): 4.048 5.458 5.458 90.00 90.00 90.00
Last column: magnetic moment on the atom in μB.
Fractional coordinates of all 5 atoms:
Bi 0.000 0.000 0.500  -0.04
Fe 0.500 0.500 0.500  3.28
Be 0.500 0.000 0.000  -0.01
Ga 0.000 0.000 0.000  0.00
Bi 0.000 0.500 0.000  -0.04

## Properties
E_tot: -38.23 eV/atom
Fermi-level density of states: 3.2 states/eV/cell
energy of formation: 965.0 meV/atom

Record 8
Material: BeFeNi2Bi
Method: DFT, SCAN
State: single point on PBEsol structure

Lattice parameters (Å, degrees): 4.014 4.014 4.081 90.00 90.00 90.00
Last column: magnetic moment on the atom in μB.
Fractional coordinates of all 5 atoms:
Be 0.000 0.000 0.000  -0.06
Ni 0.500 0.000 0.000  0.13
Fe 0.000 0.000 0.500  2.67
Ni 0.000 0.500 0.000  0.13
Bi 0.500 0.500 0.500  -0.01

## Properties
E_tot: -26.31 eV/atom
Fermi-level density of states: 3.3 states/eV/cell
energy of formation: 368.0 meV/atom

Question: What is the E_tot in the sixth record?
Answer: -26.94 eV/atom

Question: Among the records above, which one has the highest Fermi-level density of states?
Answer: BeFe3Bi